NaFeBi2Br after structural relaxation, computed with PBE.

Cell and atoms, written as POSCAR:
```
NaFeBi2Br
1.0
4.9346 0.0000 0.0000
0.0000 6.4264 0.0000
0.0000 0.0000 4.9346
Bi Br Na Fe
2 1 1 1
direct
0.0000 0.0000 0.5000
0.5000 0.0000 0.0000
0.5000 0.5000 0.5000
0.0000 0.5000 0.0000
0.0000 0.0000 0.0000
```

The value obtained for the volume is 156.5 Å³ per cell. Its polymorph energy (0 for the lowest one) is 0 meV per atom.